VASP calculation (PBE-GGA) on crystalline Fe3AgI at its relaxed geometry.

Calculated values
Its energy is -22.65 eV for the cell shown. The calculation puts the uncorrected formation energy at 7.1 eV/f.u.

Geometry as CIF:
```
data_Fe3AgI
_cell_length_a 4.860
_cell_length_b 4.860
_cell_length_c 4.860
_cell_angle_alpha 90.00
_cell_angle_beta 90.00
_cell_angle_gamma 90.00
_space_group_name_H-M_alt 'P m -3 m'
_space_group_IT_number 221
_space_group_name_Hall '-P 4 2 3'
loop_
_atom_site_label
_atom_site_type_symbol
_atom_site_fract_x
_atom_site_fract_y
_atom_site_fract_z
Fe1 Fe 0.000 0.000 0.500
Ag1 Ag 0.000 0.000 0.000
I1 I 0.500 0.500 0.500
```

=====

VASP calculation (PBE-GGA) on crystalline Fe2AgI at its relaxed geometry.

Calculated values
Its energy is -67.59 eV for the cell shown. The calculation puts the uncorrected formation energy at 4.4 eV/f.u. The value obtained for the energy above the most stable polymorph in this dataset is 8.5 meV per atom.

Geometry as CIF:
```
data_Fe2AgI
_cell_length_a 6.237
_cell_length_b 6.237
_cell_length_c 6.237
_cell_angle_alpha 90.00
_cell_angle_beta 90.00
_cell_angle_gamma 90.00
_space_group_name_H-M_alt 'F m -3 m'
_space_group_IT_number 225
_space_group_name_Hall '-F 4 2 3'
loop_
_atom_site_label
_atom_site_type_symbol
_atom_site_fract_x
_atom_site_fract_y
_atom_site_fract_z
Fe1 Fe 0.250 0.250 0.250
Ag1 Ag 0.000 0.000 0.000
I1 I 0.000 0.000 0.500
```

=====

VASP calculation (PBE-GGA) on crystalline FeAg2I4 at its relaxed geometry.

Calculated values
Its energy is -21.56 eV for the cell shown. The calculation puts the uncorrected formation energy at -1.2 eV/f.u.

Geometry as CIF:
```
data_FeAg2I4
_cell_length_a 6.561
_cell_length_b 6.561
_cell_length_c 6.672
_cell_angle_alpha 90.00
_cell_angle_beta 90.00
_cell_angle_gamma 90.00
_space_group_name_H-M_alt 'P -4 2 m'
_space_group_IT_number 111
loop_
_space_group_symop_operation_xyz
'x,y,z'
'y,-x,-z'
'-x,-y,z'
'-y,x,-z'
'x,-y,-z'
'y,x,z'
'-x,y,-z'
'-y,-x,z'
loop_
_atom_site_label
_atom_site_type_symbol
_atom_site_fract_x
_atom_site_fract_y
_atom_site_fract_z
Fe1 Fe 0.000 0.000 0.000
Ag1 Ag 0.000 0.500 0.000
I1 I 0.226 0.226 0.248
```

=====

VASP calculation (PBE-GGA) on crystalline FeAgI2 at its relaxed geometry.

Calculated values
Its energy is -40.23 eV for the cell shown. The calculation puts the uncorrected formation energy at 1.0 eV/f.u. The value obtained for the energy above the most stable polymorph in this dataset is 96.3 meV per atom.

Geometry as CIF:
```
data_FeAgI2
_cell_length_a 4.0187
_cell_length_b 4.0187
_cell_length_c 25.9047
_cell_angle_alpha 90.00
_cell_angle_beta 90.00
_cell_angle_gamma 120.00
_space_group_name_H-M_alt 'R -3 m'
_space_group_IT_number 166
_space_group_name_Hall '-R 3 2"'
loop_
_atom_site_label
_atom_site_type_symbol
_atom_site_fract_x
_atom_site_fract_y
_atom_site_fract_z
Fe1 Fe 0.0000 0.0000 0.0000
Ag1 Ag 0.0000 0.0000 0.5000
I1 I 0.0000 0.0000 0.3939
```

=====

VASP calculation (PBE-GGA) on crystalline FeAgI2 at its relaxed geometry.

Calculated values
Its energy is -55.18 eV for the cell shown. The calculation puts the uncorrected formation energy at 0.6 eV/f.u. The value obtained for the energy above the most stable polymorph in this dataset is 0.0 meV per atom.

Geometry as CIF:
```
data_FeAgI2
_cell_length_a 6.402
_cell_length_b 6.402
_cell_length_c 12.537
_cell_angle_alpha 90.00
_cell_angle_beta 90.00
_cell_angle_gamma 90.00
_space_group_name_H-M_alt 'I -4 2 d'
_space_group_IT_number 122
_space_group_name_Hall 'I -4 2bw'
loop_
_atom_site_label
_atom_site_type_symbol
_atom_site_fract_x
_atom_site_fract_y
_atom_site_fract_z
Fe1 Fe 0.000 0.000 0.000
Ag1 Ag 0.000 0.000 0.500
I1 I 0.219 0.250 0.125
```

=====

VASP calculation (PBE-GGA) on crystalline FeAg2I6 at its relaxed geometry.

Calculated values
Its energy is -98.71 eV for the cell shown. The calculation puts the uncorrected formation energy at -1.2 eV/f.u.

Geometry as CIF:
```
data_FeAg2I6
_cell_length_a 15.942
_cell_length_b 14.867
_cell_length_c 7.584
_cell_angle_alpha 90.00
_cell_angle_beta 117.28
_cell_angle_gamma 90.00
_space_group_name_H-M_alt 'C 1 2/c 1'
_space_group_IT_number 15
loop_
_space_group_symop_operation_xyz
'x,y,z'
'-x,-y,-z'
'-x,y,-z+1/2'
'x,-y,z+1/2'
'x+1/2,y+1/2,z'
'-x+1/2,-y+1/2,-z'
'-x+1/2,y+1/2,-z+1/2'
'x+1/2,-y+1/2,z+1/2'
loop_
_atom_site_label
_atom_site_type_symbol
_atom_site_fract_x
_atom_site_fract_y
_atom_site_fract_z
Fe1 Fe 0.000 0.214 0.250
Ag1 Ag 0.216 0.430 0.433
I1 I 0.093 0.310 0.124
I2 I 0.104 0.118 0.547
I3 I 0.202 0.400 0.776
```

=====

VASP calculation (PBE-GGA) on crystalline Fe2AgI6 at its relaxed geometry.

Calculated values
Its energy is -59.60 eV for the cell shown. The calculation puts the uncorrected formation energy at -0.7 eV/f.u. The value obtained for the energy above the most stable polymorph in this dataset is 81.3 meV per atom.

Geometry as CIF:
```
data_Fe2AgI6
_cell_length_a 14.000
_cell_length_b 5.897
_cell_length_c 8.932
_cell_angle_alpha 90.00
_cell_angle_beta 95.51
_cell_angle_gamma 90.00
_space_group_name_H-M_alt 'C 1 2/m 1'
_space_group_IT_number 12
loop_
_space_group_symop_operation_xyz
'x,y,z'
'-x,-y,-z'
'-x,y,-z'
'x,-y,z'
'x+1/2,y+1/2,z'
'-x+1/2,-y+1/2,-z'
'-x+1/2,y+1/2,-z'
'x+1/2,-y+1/2,z'
loop_
_atom_site_label
_atom_site_type_symbol
_atom_site_fract_x
_atom_site_fract_y
_atom_site_fract_z
Fe1 Fe 0.231 0.000 0.171
Ag1 Ag 0.000 0.000 0.500
I1 I 0.050 0.000 0.215
I2 I 0.142 0.500 0.607
I3 I 0.236 0.500 0.118
```

=====

VASP calculation (PBE-GGA) on crystalline Fe2AgI6 at its relaxed geometry.

Calculated values
Its energy is -122.14 eV for the cell shown. The calculation puts the uncorrected formation energy at -1.5 eV/f.u. The value obtained for the energy above the most stable polymorph in this dataset is 0.0 meV per atom.

Geometry as CIF:
```
data_Fe2AgI6
_cell_length_a 15.164
_cell_length_b 15.407
_cell_length_c 7.211
_cell_angle_alpha 90.00
_cell_angle_beta 112.73
_cell_angle_gamma 90.00
_space_group_name_H-M_alt 'C 1 2/c 1'
_space_group_IT_number 15
loop_
_space_group_symop_operation_xyz
'x,y,z'
'-x,-y,-z'
'-x,y,-z+1/2'
'x,-y,z+1/2'
'x+1/2,y+1/2,z'
'-x+1/2,-y+1/2,-z'
'-x+1/2,y+1/2,-z+1/2'
'x+1/2,-y+1/2,z+1/2'
loop_
_atom_site_label
_atom_site_type_symbol
_atom_site_fract_x
_atom_site_fract_y
_atom_site_fract_z
Fe1 Fe 0.215 0.080 0.316
Ag1 Ag 0.000 0.293 0.250
I1 I 0.105 0.405 0.582
I2 I 0.123 0.208 0.097
I3 I 0.161 0.069 0.621
```

=====

VASP calculation (PBE-GGA) on crystalline Fe2AgI at its relaxed geometry.

Calculated values
Its energy is -67.72 eV for the cell shown. The calculation puts the uncorrected formation energy at 4.4 eV/f.u. The value obtained for the energy above the most stable polymorph in this dataset is 0.0 meV per atom.

Geometry as CIF:
```
data_Fe2AgI
_cell_length_a 5.796
_cell_length_b 5.796
_cell_length_c 12.213
_cell_angle_alpha 90.00
_cell_angle_beta 90.00
_cell_angle_gamma 90.00
_space_group_name_H-M_alt 'I -4 2 d'
_space_group_IT_number 122
_space_group_name_Hall 'I -4 2bw'
loop_
_atom_site_label
_atom_site_type_symbol
_atom_site_fract_x
_atom_site_fract_y
_atom_site_fract_z
Fe1 Fe 0.232 0.250 0.125
Ag1 Ag 0.000 0.000 0.000
I1 I 0.000 0.000 0.500
```

=====

VASP calculation (PBE-GGA) on crystalline KFe2AgI6 at its relaxed geometry.

Calculated values
Its energy is -135.34 eV for the cell shown. The calculation puts the uncorrected formation energy at -3.7 eV/f.u.

Geometry as CIF:
```
data_KFe2AgI6
_cell_length_a 15.209
_cell_length_b 14.929
_cell_length_c 8.129
_cell_angle_alpha 90.00
_cell_angle_beta 110.21
_cell_angle_gamma 90.00
_space_group_name_H-M_alt 'C 1 2/c 1'
_space_group_IT_number 15
loop_
_space_group_symop_operation_xyz
'x,y,z'
'-x,-y,-z'
'-x,y,-z+1/2'
'x,-y,z+1/2'
'x+1/2,y+1/2,z'
'-x+1/2,-y+1/2,-z'
'-x+1/2,y+1/2,-z+1/2'
'x+1/2,-y+1/2,z+1/2'
loop_
_atom_site_label
_atom_site_type_symbol
_atom_site_fract_x
_atom_site_fract_y
_atom_site_fract_z
K1 K 0.000 0.126 0.250
Fe1 Fe 0.192 0.428 0.204
Ag1 Ag 0.000 0.218 0.750
I1 I 0.124 0.074 0.685
I2 I 0.129 0.270 0.075
I3 I 0.132 0.442 0.475
```

=====

Number 1: theoretical density 5.819 g/cm³, size of the total moment 9.90 μB/f.u.. Number 2: theoretical density 9.487 g/cm³, size of the total moment 0.00 μB/f.u.. Number 3: theoretical density 4.505 g/cm³, size of the total moment 4.00 μB/f.u.. Number 4: theoretical density 5.741 g/cm³, size of the total moment 3.11 μB/f.u.. Number 5: theoretical density 5.398 g/cm³, size of the total moment 3.00 μB/f.u.. Number 6: theoretical density 4.295 g/cm³, size of the total moment 3.93 μB/f.u.. Number 7: theoretical density 4.439 g/cm³, size of the total moment 9.03 μB/f.u.. Number 8: theoretical density 4.193 g/cm³, size of the total moment 9.00 μB/f.u.. Number 9: theoretical density 5.609 g/cm³, size of the total moment 6.00 μB/f.u.. Number 10: theoretical density 3.912 g/cm³, size of the total moment 8.00 μB/f.u..